(a)
# PBE SrLaBr2, relaxed
data_SrLaBr2
_symmetry_space_group_name_H-M 'C m m m'
_symmetry_Int_Tables_number 65
_symmetry_space_group_name_Hall '-C 2 2'
_cell_length_a 3.897
_cell_length_b 7.147
_cell_length_c 10.014
_cell_angle_alpha 90.00
_cell_angle_beta 90.00
_cell_angle_gamma 90.00
loop_
_atom_site_label
_atom_site_fract_x
_atom_site_fract_y
_atom_site_fract_z
Sr1 0.000 0.000 0.000
La1 0.000 0.000 0.500
Br1 0.000 0.500 0.255
# - N(E_F): 5.27 states/eV/cell



(b)
# PBE SrLaBr2, relaxed
data_SrLaBr2
_symmetry_space_group_name_H-M 'R -3 m'
_symmetry_Int_Tables_number 166
_symmetry_space_group_name_Hall '-R 3 2"'
_cell_length_a 3.9290
_cell_length_b 3.9290
_cell_length_c 28.1350
_cell_angle_alpha 90.00
_cell_angle_beta 90.00
_cell_angle_gamma 120.00
loop_
_atom_site_label
_atom_site_fract_x
_atom_site_fract_y
_atom_site_fract_z
Sr1 0.0000 0.0000 0.0000
La1 0.0000 0.0000 0.5000
Br1 0.0000 0.0000 0.2462
# - N(E_F): 7.64 states/eV/cell



(c)
# PBE SrLaBr2, relaxed
data_SrLaBr2
_symmetry_space_group_name_H-M 'P 4 m m'
_symmetry_Int_Tables_number 99
_cell_length_a 4.159
_cell_length_b 4.159
_cell_length_c 7.946
_cell_angle_alpha 90.00
_cell_angle_beta 90.00
_cell_angle_gamma 90.00
loop_
_symmetry_equiv_pos_as_xyz
'x,y,z'
'-y,x,z'
'-x,-y,z'
'y,-x,z'
'-x,y,z'
'y,x,z'
'x,-y,z'
'-y,-x,z'
loop_
_atom_site_label
_atom_site_fract_x
_atom_site_fract_y
_atom_site_fract_z
Sr1 0.000 0.000 0.000
La1 0.500 0.500 0.609
Br1 0.000 0.000 0.481
Br2 0.500 0.500 0.192
# - N(E_F): 2.06 states/eV/cell



Which of them is the least stable? Correct choice: (a).



(a)
# PBE SrLa2Br, relaxed
data_SrLa2Br
_symmetry_space_group_name_H-M 'P 4/m m m'
_symmetry_Int_Tables_number 123
_symmetry_space_group_name_Hall '-P 4 2'
_cell_length_a 4.612
_cell_length_b 4.612
_cell_length_c 7.370
_cell_angle_alpha 90.00
_cell_angle_beta 90.00
_cell_angle_gamma 90.00
loop_
_atom_site_label
_atom_site_fract_x
_atom_site_fract_y
_atom_site_fract_z
Sr1 0.000 0.000 0.000
La1 0.000 0.500 0.500
Br1 0.500 0.500 0.000
# - N(E_F): 5.72 states/eV/cell



(b)
# PBE SrLa2Br, relaxed
data_SrLa2Br
_symmetry_space_group_name_H-M 'C m m m'
_symmetry_Int_Tables_number 65
_symmetry_space_group_name_Hall '-C 2 2'
_cell_length_a 4.016
_cell_length_b 6.475
_cell_length_c 11.566
_cell_angle_alpha 90.00
_cell_angle_beta 90.00
_cell_angle_gamma 90.00
loop_
_atom_site_label
_atom_site_fract_x
_atom_site_fract_y
_atom_site_fract_z
Sr1 0.000 0.000 0.000
La1 0.000 0.500 0.286
Br1 0.000 0.000 0.500
# - N(E_F): 10.42 states/eV/cell



Which of them is the least stable? Correct choice: (a).



(a)
# PBE SrLa2Br, relaxed
data_SrLa2Br
_symmetry_space_group_name_H-M 'R 3 m'
_symmetry_Int_Tables_number 160
_symmetry_space_group_name_Hall 'R 3 -2"'
_cell_length_a 3.9391
_cell_length_b 3.9391
_cell_length_c 32.8838
_cell_angle_alpha 90.00
_cell_angle_beta 90.00
_cell_angle_gamma 120.00
loop_
_atom_site_label
_atom_site_fract_x
_atom_site_fract_y
_atom_site_fract_z
Sr1 0.0000 0.0000 0.0000
La1 0.0000 0.0000 0.2350
La2 0.0000 0.0000 0.4781
Br1 0.0000 0.0000 0.7398
# - N(E_F): 14.10 states/eV/cell



(b)
# PBE SrLa2Br, relaxed
data_SrLa2Br
_symmetry_space_group_name_H-M 'P 1 2/m 1'
_symmetry_Int_Tables_number 10
_cell_length_a 3.838
_cell_length_b 6.716
_cell_length_c 5.638
_cell_angle_alpha 90.00
_cell_angle_beta 92.16
_cell_angle_gamma 90.00
loop_
_symmetry_equiv_pos_as_xyz
'x,y,z'
'-x,-y,-z'
'-x,y,-z'
'x,-y,z'
loop_
_atom_site_label
_atom_site_fract_x
_atom_site_fract_y
_atom_site_fract_z
Sr1 0.000 0.000 0.000
La1 0.318 0.500 0.754
Br1 0.500 0.000 0.500
# - N(E_F): 4.86 states/eV/cell



Which of them is the least stable? Correct choice: (b).



(a)
# PBE SrLa3Br, relaxed
data_SrLa3Br
_symmetry_space_group_name_H-M 'P m -3 m'
_symmetry_Int_Tables_number 221
_symmetry_space_group_name_Hall '-P 4 2 3'
_cell_length_a 6.052
_cell_length_b 6.052
_cell_length_c 6.052
_cell_angle_alpha 90.00
_cell_angle_beta 90.00
_cell_angle_gamma 90.00
loop_
_atom_site_label
_atom_site_fract_x
_atom_site_fract_y
_atom_site_fract_z
Sr1 0.000 0.000 0.000
La1 0.000 0.000 0.500
Br1 0.500 0.500 0.500
# - N(E_F): 10.76 states/eV/cell



(b)
# PBE SrLa3Br, relaxed
data_SrLa3Br
_symmetry_space_group_name_H-M 'P m -3 m'
_symmetry_Int_Tables_number 221
_symmetry_space_group_name_Hall '-P 4 2 3'
_cell_length_a 5.846
_cell_length_b 5.846
_cell_length_c 5.846
_cell_angle_alpha 90.00
_cell_angle_beta 90.00
_cell_angle_gamma 90.00
loop_
_atom_site_label
_atom_site_fract_x
_atom_site_fract_y
_atom_site_fract_z
Sr1 0.000 0.000 0.000
La1 0.000 0.500 0.500
Br1 0.500 0.500 0.500
# - N(E_F): 7.44 states/eV/cell



Which of them is the least stable? Correct choice: (a).



(a)
# PBE LaTaBr2, relaxed
data_LaTaBr2
_symmetry_space_group_name_H-M 'F m -3 m'
_symmetry_Int_Tables_number 225
_symmetry_space_group_name_Hall '-F 4 2 3'
_cell_length_a 7.257
_cell_length_b 7.257
_cell_length_c 7.257
_cell_angle_alpha 90.00
_cell_angle_beta 90.00
_cell_angle_gamma 90.00
loop_
_atom_site_label
_atom_site_fract_x
_atom_site_fract_y
_atom_site_fract_z
La1 0.000 0.000 0.000
Ta1 0.000 0.000 0.500
Br1 0.250 0.250 0.250
# - N(E_F): 21.01 states/eV/cell



(b)
# PBE LaTaBr2, relaxed
data_LaTaBr2
_symmetry_space_group_name_H-M 'F -4 3 m'
_symmetry_Int_Tables_number 216
_symmetry_space_group_name_Hall 'F -4 2 3'
_cell_length_a 7.670
_cell_length_b 7.670
_cell_length_c 7.670
_cell_angle_alpha 90.00
_cell_angle_beta 90.00
_cell_angle_gamma 90.00
loop_
_atom_site_label
_atom_site_fract_x
_atom_site_fract_y
_atom_site_fract_z
La1 0.000 0.000 0.000
Ta1 0.250 0.250 0.750
Br1 0.000 0.000 0.500
Br2 0.250 0.250 0.250
# - N(E_F): 15.97 states/eV/cell



(c)
# PBE LaTaBr2, relaxed
data_LaTaBr2
_symmetry_space_group_name_H-M 'C 1 2/m 1'
_symmetry_Int_Tables_number 12
_cell_length_a 6.729
_cell_length_b 9.831
_cell_length_c 3.540
_cell_angle_alpha 90.00
_cell_angle_beta 119.02
_cell_angle_gamma 90.00
loop_
_symmetry_equiv_pos_as_xyz
'x,y,z'
'-x,-y,-z'
'-x,y,-z'
'x,-y,z'
'x+1/2,y+1/2,z'
'-x+1/2,-y+1/2,-z'
'-x+1/2,y+1/2,-z'
'x+1/2,-y+1/2,z'
loop_
_atom_site_label
_atom_site_fract_x
_atom_site_fract_y
_atom_site_fract_z
La1 0.000 0.000 0.000
Ta1 0.000 0.500 0.000
Br1 0.250 0.250 0.000
# - N(E_F): 8.69 states/eV/cell



Which of them is the least stable? Correct choice: (b).



(a)
# PBE LaTaBr2, relaxed
data_LaTaBr2
_symmetry_space_group_name_H-M 'R 3 m'
_symmetry_Int_Tables_number 160
_symmetry_space_group_name_Hall 'R 3 -2"'
_cell_length_a 3.6251
_cell_length_b 3.6251
_cell_length_c 30.4786
_cell_angle_alpha 90.00
_cell_angle_beta 90.00
_cell_angle_gamma 120.00
loop_
_atom_site_label
_atom_site_fract_x
_atom_site_fract_y
_atom_site_fract_z
La1 0.0000 0.0000 0.0000
Ta1 0.0000 0.0000 0.2490
Br1 0.0000 0.0000 0.5251
Br2 0.0000 0.0000 0.7400
# - N(E_F): 1.73 states/eV/cell



(b)
# PBE LaTaBr2, relaxed
data_LaTaBr2
_symmetry_space_group_name_H-M 'C 1 2/m 1'
_symmetry_Int_Tables_number 12
_cell_length_a 14.631
_cell_length_b 3.637
_cell_length_c 5.014
_cell_angle_alpha 90.00
_cell_angle_beta 90.02
_cell_angle_gamma 90.00
loop_
_symmetry_equiv_pos_as_xyz
'x,y,z'
'-x,-y,-z'
'-x,y,-z'
'x,-y,z'
'x+1/2,y+1/2,z'
'-x+1/2,-y+1/2,-z'
'-x+1/2,y+1/2,-z'
'x+1/2,-y+1/2,z'
loop_
_atom_site_label
_atom_site_fract_x
_atom_site_fract_y
_atom_site_fract_z
La1 0.000 0.000 0.000
Ta1 0.000 0.500 0.500
Br1 0.153 0.500 0.757
# - N(E_F): 10.29 states/eV/cell



Which of them is the least stable? Correct choice: (b).